A plane-wave DFT calculation with GGA-PBE was carried out for K2NaSrF6 after structural relaxation.

Output
SG: P2_1/c, No. 14
formation energy from raw total energies: -2.7685 eV/atom
size of the total moment: 2.2 μB per cell

Geometry as POSCAR:
```
K2NaSrF6
1.0
6.490 0.000 0.000
0.000 6.617 0.000
-6.080 0.000 8.593
K Na Sr F
4 2 2 12
Direct
0.224 0.052 0.243
0.224 0.448 0.743
0.776 0.552 0.257
0.776 0.948 0.757
0.000 0.000 0.500
0.000 0.500 0.000
0.500 0.000 0.000
0.500 0.500 0.500
0.150 0.217 0.940
0.150 0.283 0.440
0.212 0.718 0.927
0.212 0.782 0.427
0.372 0.066 0.741
0.372 0.434 0.241
0.628 0.566 0.759
0.628 0.934 0.259
0.788 0.218 0.573
0.788 0.282 0.073
0.850 0.717 0.560
0.850 0.783 0.060
```

=====

A plane-wave DFT calculation with GGA-PBE was carried out for LaSc3Ga2 after structural relaxation.

Output
SG: C2/m, No. 12
DFT formation energy: -372.6 meV per atom
size of the total moment: 0.0 μB per cell

Geometry as POSCAR:
```
LaSc3Ga2
1.0
8.298 -2.305 0.000
8.298 2.305 0.000
-4.132 0.000 7.749
La Sc Ga
2 6 4
Direct
0.143 0.143 0.073
0.857 0.857 0.927
0.041 0.041 0.367
0.314 0.314 0.568
0.400 0.400 0.309
0.600 0.600 0.691
0.686 0.686 0.432
0.959 0.959 0.633
0.196 0.196 0.713
0.487 0.487 0.847
0.513 0.513 0.153
0.804 0.804 0.287
```

=====

A plane-wave DFT calculation with GGA-PBE was carried out for YNi2I after structural relaxation.

Output
SG: Fm-3m, No. 225
offset from the most stable computed form: 0.0 meV per atom
formation energy from raw total energies: 0.1407 eV/atom
size of the total moment: 0.0 μB per cell

Geometry as POSCAR:
```
YNi2I
1.0
6.684 0.000 0.000
0.000 6.684 0.000
0.000 0.000 6.684
Y Ni I
4 8 4
Direct
0.000 0.000 0.000
0.000 0.500 0.500
0.500 0.000 0.500
0.500 0.500 0.000
0.250 0.250 0.250
0.250 0.250 0.750
0.250 0.750 0.250
0.250 0.750 0.750
0.750 0.250 0.250
0.750 0.250 0.750
0.750 0.750 0.250
0.750 0.750 0.750
0.000 0.000 0.500
0.000 0.500 0.000
0.500 0.000 0.000
0.500 0.500 0.500
```

=====

A plane-wave DFT calculation with GGA-PBE was carried out for Y2UP3 after structural relaxation.

Output
SG: I4/mmm, No. 139
DFT formation energy: -1409.1 meV per atom
size of the total moment: 4.6 μB per cell

Geometry as POSCAR:
```
Y2UP3
1.0
3.988 0.000 0.000
0.000 3.988 0.000
0.000 0.000 16.861
Y U P
4 2 6
Direct
0.000 0.000 0.168
0.000 0.000 0.832
0.500 0.500 0.332
0.500 0.500 0.668
0.000 0.000 0.500
0.500 0.500 0.000
0.000 0.000 0.000
0.000 0.000 0.336
0.000 0.000 0.664
0.500 0.500 0.164
0.500 0.500 0.500
0.500 0.500 0.836
```

=====

Q: What is the formula in the second record?
A: LaSc3Ga2

=====

Repeat the first record exactly.
A plane-wave DFT calculation with GGA-PBE was carried out for K2NaSrF6 after structural relaxation.

Output
SG: P2_1/c, No. 14
formation energy from raw total energies: -2.7685 eV/atom
size of the total moment: 2.2 μB per cell

Geometry as POSCAR:
```
K2NaSrF6
1.0
6.490 0.000 0.000
0.000 6.617 0.000
-6.080 0.000 8.593
K Na Sr F
4 2 2 12
Direct
0.224 0.052 0.243
0.224 0.448 0.743
0.776 0.552 0.257
0.776 0.948 0.757
0.000 0.000 0.500
0.000 0.500 0.000
0.500 0.000 0.000
0.500 0.500 0.500
0.150 0.217 0.940
0.150 0.283 0.440
0.212 0.718 0.927
0.212 0.782 0.427
0.372 0.066 0.741
0.372 0.434 0.241
0.628 0.566 0.759
0.628 0.934 0.259
0.788 0.218 0.573
0.788 0.282 0.073
0.850 0.717 0.560
0.850 0.783 0.060
```

=====

Q: Which of these has the highest size of the total moment?
A: Y2UP3